1.
Compound: Zr2ReOs
Source: Alexandria via LeMat-Bulk
Functional: GGA-PBE
Structure: relaxed

Output
- V: 74.4 Å³/cell
- Uncorrected energy: -40.40 eV per cell

Cell: 3.0841 4.4055 5.4752 Å, 90.00 90.00 90.00°
With the nearest neighbours (Å) after each atom.
Space group Pmm2 (No. 25)
Unique sites:
Zr  0.0000  0.0000  0.0000 x1  2 Os 2.70-2.78, 4 Re 2.86
Zr  0.5000  0.5000  0.3292 x1  2 Re 2.70-2.78, 4 Os 2.86
Re  0.5000  0.5000  0.8222 x1  6 Zr 2.70-2.86
Os  0.0000  0.0000  0.5074 x1  6 Zr 2.70-2.86

2.
Compound: Zr2ReOs
Source: Alexandria via LeMat-Bulk
Functional: GGA-PBE
Structure: relaxed

Output
- V: 278.5 Å³/cell
- Uncorrected energy: -164.84 eV per cell

Cell: 6.5306 6.5306 6.5306 Å, 90.00 90.00 90.00°
With the nearest neighbours (Å) after each atom.
Space group F-43m (No. 216)
Unique sites:
Zr  0.0000  0.0000  0.0000 x4  4 Zr 2.83, 4 Re 2.83
Zr  0.2500  0.2500  0.2500 x4  4 Os 2.83, 4 Zr 2.83
Re  0.2500  0.2500  0.7500 x4  4 Zr 2.83, 4 Os 2.83
Os  0.0000  0.0000  0.5000 x4  4 Re 2.83, 4 Zr 2.83

3.
Compound: ZrReOs2
Source: Alexandria via LeMat-Bulk
Functional: GGA-PBE
Structure: relaxed

Output
- Relative energy among the computed polymorphs: 64 kJ/mol of formula units
- V: 130.8 Å³/cell

Cell: 2.9677 4.6210 9.5365 Å, 90.00 90.00 90.00°
With the nearest neighbours (Å) after each atom.
Space group Immm (No. 71)
Unique sites:
Zr  0.0000  0.0000  0.0000 x2  4 Re 2.75, 2 Zr 2.97, 4 Os 3.00
Re  0.0000  0.0000  0.5000 x2  4 Os 2.62, 4 Zr 2.75
Os  0.0000  0.5000  0.2263 x4  2 Re 2.62, 4 Os 2.78

4.
Compound: ZrRe2Os
Source: Alexandria via LeMat-Bulk
Functional: GGA-PBE
Structure: relaxed

Output
- Relative energy among the computed polymorphs: 30 kJ/mol of formula units
- V: 260.0 Å³/cell

Cell: 6.3828 6.3828 6.3828 Å, 90.00 90.00 90.00°
With the nearest neighbours (Å) after each atom.
Space group F-43m (No. 216)
Unique sites:
Zr  0.0000  0.0000  0.0000 x4  4 Re 2.76, 4 Os 2.76
Re  0.0000  0.0000  0.5000 x4  4 Re 2.76, 4 Os 2.76
Re  0.2500  0.2500  0.2500 x4  4 Zr 2.76, 4 Re 2.76
Os  0.2500  0.2500  0.7500 x4  4 Zr 2.76, 4 Re 2.76

5.
Compound: ZrReOs2
Source: Alexandria via LeMat-Bulk
Functional: GGA-PBE
Structure: relaxed

Output
- Relative energy among the computed polymorphs: 46 kJ/mol of formula units
- V: 130.8 Å³/cell

Cell: 9.4188 2.8603 4.9520 Å, 90.00 101.25 90.00°
With the nearest neighbours (Å) after each atom.
Space group C2/m (No. 12)
Unique sites:
Zr  0.0000  0.0000  0.0000 x2  4 Re 2.86, 2 Zr 2.86, 6 Os 2.87-2.95
Re  0.0000  0.5000  0.5000 x2  6 Os 2.71-2.87, 4 Zr 2.86, 2 Re 2.86
Os  0.2389  0.0000  0.7188 x4  4 Os 2.64-2.86, 3 Re 2.71-2.87, 3 Zr 2.87-2.95

6.
Compound: ZrRe2Os
Source: Alexandria via LeMat-Bulk
Functional: GGA-PBE
Structure: relaxed

Output
- Relative energy among the computed polymorphs: 69 kJ/mol of formula units
- V: 259.7 Å³/cell

Cell: 6.3801 6.3801 6.3801 Å, 90.00 90.00 90.00°
With the nearest neighbours (Å) after each atom.
Space group Fm-3m (No. 225)
Unique sites:
Zr  0.0000  0.0000  0.0000 x4  8 Re 2.76
Re  0.2500  0.2500  0.2500 x8  4 Zr 2.76, 4 Os 2.76
Os  0.0000  0.0000  0.5000 x4  8 Re 2.76

7.
Compound: ZrRe3Os
Source: Alexandria via LeMat-Bulk
Functional: GGA-PBE
Structure: relaxed

Output
- Relative energy among the computed polymorphs: 0 kJ/mol of formula units
- V: 103.8 Å³/cell

Cell: 4.6998 4.6998 4.6998 Å, 90.00 90.00 90.00°
With the nearest neighbours (Å) after each atom.
Space group Pm-3m (No. 221)
Unique sites:
Zr  0.0000  0.0000  0.0000 x1  12 Re 3.32
Re  0.0000  0.5000  0.5000 x3  2 Os 2.35
Os  0.5000  0.5000  0.5000 x1  6 Re 2.35

8.
Compound: ZrRe2Os
Source: Alexandria via LeMat-Bulk
Functional: GGA-PBE
Structure: relaxed

Output
- Relative energy among the computed polymorphs: 45 kJ/mol of formula units
- V: 130.4 Å³/cell

Cell: 4.0875 4.0875 7.8059 Å, 90.00 90.00 90.00°
With the nearest neighbours (Å) after each atom.
Space group I-4m2 (No. 119)
Unique sites:
Zr  0.0000  0.0000  0.0000 x2  8 Re 2.83-2.89, 4 Os 2.83
Re  0.0000  0.0000  0.5000 x2  4 Re 2.83, 4 Os 2.83, 4 Zr 2.89
Re  0.0000  0.5000  0.2500 x2  4 Zr 2.83, 4 Re 2.83, 4 Os 2.89
Os  0.0000  0.5000  0.7500 x2  4 Zr 2.83, 8 Re 2.83-2.89